1.
Entry from Alexandria via LeMat-Bulk: crystalline GaSb2OsRu at its relaxed geometry (PBE).

```
data_GaSb2OsRu
_symmetry_space_group_name_H-M 'P 1'
_symmetry_Int_Tables_number 1
_symmetry_space_group_name_Hall 'P 1'
_cell_length_a 5.055
_cell_length_b 4.899
_cell_length_c 5.055
_cell_angle_alpha 90.00
_cell_angle_beta 90.00
_cell_angle_gamma 90.00
loop_
_atom_site_label
_atom_site_type_symbol
_atom_site_fract_x
_atom_site_fract_y
_atom_site_fract_z
Os1 Os 0.000 0.500 0.000
Sb1 Sb 0.000 0.000 0.500
Sb2 Sb 0.500 0.000 0.000
Ru1 Ru 0.000 0.000 0.000
Ga1 Ga 0.500 0.500 0.500
```

magnetization: 0.00 μB/f.u.
space group: No. 123

2.
Entry from Alexandria via LeMat-Bulk: crystalline BePt2W at its relaxed geometry (PBE).

```
data_BePt2W
_symmetry_space_group_name_H-M 'P 1'
_symmetry_Int_Tables_number 1
_symmetry_space_group_name_Hall 'P 1'
_cell_length_a 2.777
_cell_length_b 4.607
_cell_length_c 4.555
_cell_angle_alpha 90.00
_cell_angle_beta 90.00
_cell_angle_gamma 90.00
loop_
_atom_site_label
_atom_site_type_symbol
_atom_site_fract_x
_atom_site_fract_y
_atom_site_fract_z
Be1 Be 0.000 0.500 0.500
W1 W 0.500 0.000 0.500
Pt1 Pt 0.000 0.000 0.000
Pt2 Pt 0.500 0.500 0.000
```

magnetization: 0.00 μB/f.u.
energy of formation: 0.11 eV/atom
space group: No. 47

3.
Entry from Alexandria via LeMat-Bulk: crystalline Te4Mo3WSe2S2 at its relaxed geometry (PBE).

```
data_Te4Mo3WSe2S2
_symmetry_space_group_name_H-M 'P 1'
_symmetry_Int_Tables_number 1
_symmetry_space_group_name_Hall 'P 1'
_cell_length_a 3.395
_cell_length_b 3.395
_cell_length_c 33.864
_cell_angle_alpha 90.00
_cell_angle_beta 90.00
_cell_angle_gamma 120.00
loop_
_atom_site_label
_atom_site_type_symbol
_atom_site_fract_x
_atom_site_fract_y
_atom_site_fract_z
Te1 Te 0.667 0.333 0.315
Te2 Te 0.000 0.000 0.431
Te3 Te 0.667 0.333 0.204
Te4 Te 0.000 0.000 0.542
S1 S 0.000 0.000 0.090
S2 S 0.000 0.000 0.002
Mo1 Mo 0.000 0.000 0.260
Mo2 Mo 0.667 0.333 0.046
Mo3 Mo 0.667 0.333 0.487
Se1 Se 0.667 0.333 0.759
Se2 Se 0.667 0.333 0.662
W1 W 0.000 0.000 0.711
```

magnetization: 0.00 μB/f.u.
distance to the lowest polymorph of the same formula: 0.0149 eV per atom
space group: No. 156

4.
Entry from Alexandria via LeMat-Bulk: crystalline Y2CBr at its relaxed geometry (PBE).

```
data_Y2CBr
_symmetry_space_group_name_H-M 'P 1'
_symmetry_Int_Tables_number 1
_symmetry_space_group_name_Hall 'P 1'
_cell_length_a 4.769
_cell_length_b 4.769
_cell_length_c 4.769
_cell_angle_alpha 60.00
_cell_angle_beta 60.00
_cell_angle_gamma 60.00
loop_
_atom_site_label
_atom_site_type_symbol
_atom_site_fract_x
_atom_site_fract_y
_atom_site_fract_z
Y1 Y 0.250 0.250 0.250
Y2 Y 0.750 0.750 0.750
C1 C 0.000 0.000 0.000
Br1 Br 0.500 0.500 0.500
```

magnetization: 0.00 μB/f.u.
space group: No. 225

5.
Entry from Alexandria via LeMat-Bulk: crystalline SrLaTl at its relaxed geometry (PBE).

```
data_SrLaTl
_symmetry_space_group_name_H-M 'P 1'
_symmetry_Int_Tables_number 1
_symmetry_space_group_name_Hall 'P 1'
_cell_length_a 5.542
_cell_length_b 5.542
_cell_length_c 8.149
_cell_angle_alpha 90.00
_cell_angle_beta 90.00
_cell_angle_gamma 90.00
loop_
_atom_site_label
_atom_site_type_symbol
_atom_site_fract_x
_atom_site_fract_y
_atom_site_fract_z
La1 La 0.000 0.500 0.307
La2 La 0.500 0.000 0.693
Sr1 Sr 0.000 0.500 0.804
Sr2 Sr 0.500 0.000 0.196
Tl1 Tl 0.500 0.500 0.500
Tl2 Tl 0.000 0.000 0.500
```

magnetization: 0.00 μB/f.u.
energy of formation: -0.14 eV/atom
space group: No. 129

6.
Entry from Alexandria via LeMat-Bulk: crystalline CeTm at its relaxed geometry (PBE).

```
data_CeTm
_symmetry_space_group_name_H-M 'P 1'
_symmetry_Int_Tables_number 1
_symmetry_space_group_name_Hall 'P 1'
_cell_length_a 3.448
_cell_length_b 4.900
_cell_length_c 6.898
_cell_angle_alpha 90.00
_cell_angle_beta 89.99
_cell_angle_gamma 90.00
loop_
_atom_site_label
_atom_site_type_symbol
_atom_site_fract_x
_atom_site_fract_y
_atom_site_fract_z
Tm1 Tm 0.250 0.750 0.627
Tm2 Tm 0.750 0.250 0.373
Ce1 Ce 0.250 0.750 0.113
Ce2 Ce 0.750 0.250 0.887
```

magnetization: 0.00 μB/f.u.
energy of formation: 0.07 eV/atom
distance to the lowest polymorph of the same formula: 0.0000 eV per atom
space group: No. 59

7.
Entry from Alexandria via LeMat-Bulk: crystalline TlPdS2Br at its relaxed geometry (PBE).

```
data_TlPdS2Br
_symmetry_space_group_name_H-M 'P 1'
_symmetry_Int_Tables_number 1
_symmetry_space_group_name_Hall 'P 1'
_cell_length_a 5.135
_cell_length_b 5.434
_cell_length_c 5.135
_cell_angle_alpha 90.00
_cell_angle_beta 90.00
_cell_angle_gamma 90.00
loop_
_atom_site_label
_atom_site_type_symbol
_atom_site_fract_x
_atom_site_fract_y
_atom_site_fract_z
S1 S 0.000 0.000 0.500
S2 S 0.500 0.000 0.000
Tl1 Tl 0.000 0.000 0.000
Br1 Br 0.500 0.500 0.500
Pd1 Pd 0.000 0.500 0.000
```

magnetization: 2.25 μB/f.u.
space group: No. 123

8.
Entry from Alexandria via LeMat-Bulk: crystalline Sr11Tl9Pd4 at its relaxed geometry (PBE).

```
data_Sr11Tl9Pd4
_symmetry_space_group_name_H-M 'P 1'
_symmetry_Int_Tables_number 1
_symmetry_space_group_name_Hall 'P 1'
_cell_length_a 4.078
_cell_length_b 14.062
_cell_length_c 14.062
_cell_angle_alpha 112.62
_cell_angle_beta 90.00
_cell_angle_gamma 90.00
loop_
_atom_site_label
_atom_site_type_symbol
_atom_site_fract_x
_atom_site_fract_y
_atom_site_fract_z
Tl1 Tl 0.500 0.629 0.160
Tl2 Tl 0.500 0.840 0.371
Tl3 Tl 0.500 0.781 0.927
Tl4 Tl 0.500 0.073 0.219
Tl5 Tl 0.500 0.500 0.500
Tl6 Tl 0.500 0.927 0.781
Tl7 Tl 0.500 0.160 0.629
Tl8 Tl 0.500 0.219 0.073
Tl9 Tl 0.500 0.371 0.840
Sr1 Sr 0.000 0.585 0.924
Sr2 Sr 0.000 0.696 0.696
Sr3 Sr 0.000 0.415 0.076
Sr4 Sr 0.000 0.000 0.000
Sr5 Sr 0.000 0.304 0.304
Sr6 Sr 0.000 0.076 0.415
Sr7 Sr 0.000 0.924 0.585
Sr8 Sr 0.000 0.834 0.166
Sr9 Sr 0.000 0.166 0.834
Sr10 Sr 0.000 0.372 0.628
Sr11 Sr 0.000 0.628 0.372
Pd1 Pd 0.500 0.750 0.550
Pd2 Pd 0.500 0.250 0.450
Pd3 Pd 0.500 0.550 0.750
Pd4 Pd 0.500 0.450 0.250
```

magnetization: 0.00 μB/f.u.
energy of formation: -0.46 eV/atom
space group: No. 65

9.
Entry from Alexandria via LeMat-Bulk: crystalline AcTcGe2 at its relaxed geometry (PBE).

```
data_AcTcGe2
_symmetry_space_group_name_H-M 'P 1'
_symmetry_Int_Tables_number 1
_symmetry_space_group_name_Hall 'P 1'
_cell_length_a 4.683
_cell_length_b 4.683
_cell_length_c 8.717
_cell_angle_alpha 81.89
_cell_angle_beta 81.89
_cell_angle_gamma 86.56
loop_
_atom_site_label
_atom_site_type_symbol
_atom_site_fract_x
_atom_site_fract_y
_atom_site_fract_z
Ge1 Ge 0.658 0.658 0.880
Ge2 Ge 0.795 0.205 0.500
Ge3 Ge 0.205 0.795 0.500
Ge4 Ge 0.342 0.342 0.120
Tc1 Tc 0.676 0.676 0.597
Tc2 Tc 0.324 0.324 0.403
Ac1 Ac 0.811 0.811 0.207
Ac2 Ac 0.189 0.189 0.793
```

magnetization: 0.00 μB/f.u.
energy of formation: -0.44 eV/atom
distance to the lowest polymorph of the same formula: 0.0171 eV per atom
space group: No. 12

10.
Entry from Alexandria via LeMat-Bulk: crystalline ZrTiNb3 at its relaxed geometry (PBE).

```
data_ZrTiNb3
_symmetry_space_group_name_H-M 'P 1'
_symmetry_Int_Tables_number 1
_symmetry_space_group_name_Hall 'P 1'
_cell_length_a 4.877
_cell_length_b 4.877
_cell_length_c 4.877
_cell_angle_alpha 90.00
_cell_angle_beta 90.00
_cell_angle_gamma 90.00
loop_
_atom_site_label
_atom_site_type_symbol
_atom_site_fract_x
_atom_site_fract_y
_atom_site_fract_z
Nb1 Nb 0.000 0.000 0.500
Nb2 Nb 0.500 0.000 0.000
Nb3 Nb 0.000 0.500 0.000
Zr1 Zr 0.000 0.000 0.000
Ti1 Ti 0.500 0.500 0.500
```

magnetization: 0.01 μB/f.u.
energy of formation: 1.60 eV/atom
distance to the lowest polymorph of the same formula: 1.5294 eV per atom
space group: No. 221

| no. | E (eV/atom) |
| --- | --- |
| 1 | -5.280 |
| 2 | -7.084 |
| 3 | -6.546 |
| 4 | -5.982 |
| 5 | -3.132 |
| 6 | -5.133 |
| 7 | -2.616 |
| 8 | -2.982 |
| 9 | -6.372 |
| 10 | -7.733 |